The following is a DFT calculation (PBE with a Hubbard U) of V2AgSbF after structural relaxation.

Cell lengths 5.3250, 5.3250, 4.0836 Å; angles 90.00, 90.00, 90.00 degrees
Closest atoms and distances in Å follow each position.
Positions (direct):
V1 0.0000 0.5000 0.0000  2 Ag 2.66
V2 0.5000 0.0000 0.0000  2 Ag 2.66
Ag1 0.0000 0.0000 0.0000  2 F 2.04
Sb1 0.5000 0.5000 0.5000  8 V 3.36
F1 0.0000 0.0000 0.5000  2 Ag 2.04

Output
* final energy: -4.158 eV/atom